No. 1
La2TlCr: relaxed, PBE.

The structure belongs to space group Imm2 (No. 44); the cell edges are 3.849, 5.296 and 11.231 Å and the angles 90.00°, 90.00° and 90.00°. The inequivalent atoms are La at (0.000, 0.000, 0.000), La at (0.000, 0.500, 0.213), Tl at (0.000, 0.500, 0.776) and Cr at (0.000, 0.000, 0.468).

The value obtained for the energy is -5.375 eV per atom. As for the energy of formation from the pure elements: 0.086 eV/atom.

***

No. 2
Cu2AgMo: relaxed, PBE.

The structure belongs to space group Cmm2 (No. 35); the cell edges are 3.798, 3.808 and 7.943 Å and the angles 90.00°, 90.00° and 90.00°. The inequivalent atoms are Cu at (0.000, 0.000, 0.000), Cu at (0.000, 0.500, 0.213), Ag at (0.000, 0.500, 0.746) and Mo at (0.000, 0.000, 0.457).

The value obtained for the energy is -5.232 eV per atom. As for the energy of formation from the pure elements: 0.237 eV/atom.

***

No. 3
BaNpCu2O8: relaxed, PBE.

The structure belongs to space group I-4m2 (No. 119); the cell edges are 7.143, 7.143 and 6.932 Å and the angles 90.00°, 90.00° and 90.00°. The inequivalent atoms are Ba at (0.000, 0.000, 0.000), Np at (0.000, 0.500, 0.750), Cu at (0.000, 0.000, 0.500), Cu at (0.000, 0.500, 0.250), O at (0.000, 0.222, 0.678) and O at (0.000, 0.347, 0.046).

The formation energy (no corrections) comes out at -1.31 eV/atom. The value obtained for the energy is -6.537 eV per atom.

***

No. 4
BeFe2Cl: relaxed, PBE.

The structure belongs to space group P4/mmm (No. 123); the cell edges are 2.880, 2.880 and 6.098 Å and the angles 90.00°, 90.00° and 90.00°. The inequivalent atoms are Be at (0.000, 0.000, 0.000), Fe at (0.500, 0.500, 0.193) and Cl at (0.000, 0.000, 0.500).

The formation energy (no corrections) comes out at 0.25 eV/atom. The value obtained for the energy is -5.370 eV per atom.

***

No. 5
Y2HgH: relaxed, PBE.

The structure belongs to space group P2_1/c (No. 14); the cell edges are 8.595, 5.391 and 7.540 Å and the angles 90.00°, 102.47° and 90.00°. The inequivalent atoms are Y at (0.056, 0.244, 0.387), Y at (0.335, 0.750, 0.461), Hg at (0.355, 0.248, 0.713) and H at (0.074, 0.679, 0.894).

The value obtained for the energy is -4.628 eV per atom.

***

No. 6
BeBP2Cl: relaxed, PBE.

The structure belongs to space group P4/mmm (No. 123); the cell edges are 3.762, 3.762 and 6.699 Å and the angles 90.00°, 90.00° and 90.00°. The inequivalent atoms are Be at (0.000, 0.000, 0.000), B at (0.500, 0.500, 0.500), P at (0.000, 0.500, 0.500) and Cl at (0.500, 0.500, 0.000).

The formation energy (no corrections) comes out at 0.98 eV/atom. The value obtained for the energy is -3.631 eV per atom.